[1]
# CdTcHg4 (PBE-GGA, optimized geometry)
# total DFT energy (no corrections): -1.337 eV/atom
data_CdTcHg4
_cell_length_a 8.227
_cell_length_b 8.227
_cell_length_c 8.227
_cell_angle_alpha 90.00
_cell_angle_beta 90.00
_cell_angle_gamma 90.00
_space_group_name_H-M_alt 'F -4 3 m'
_space_group_IT_number 216
_space_group_name_Hall 'F -4 2 3'
loop_
_atom_site_label
_atom_site_type_symbol
_atom_site_fract_x
_atom_site_fract_y
_atom_site_fract_z
Cd1 Cd 0.000 0.000 0.000
Tc1 Tc 0.250 0.250 0.250
Hg1 Hg 0.125 0.125 0.625

***

[2]
# CdTcHg2 (PBE-GGA, optimized geometry)
# total DFT energy (no corrections): -2.473 eV/atom
data_CdTcHg2
_cell_length_a 3.035
_cell_length_b 5.273
_cell_length_c 10.093
_cell_angle_alpha 90.00
_cell_angle_beta 90.00
_cell_angle_gamma 90.00
_space_group_name_H-M_alt 'C m m m'
_space_group_IT_number 65
_space_group_name_Hall '-C 2 2'
loop_
_atom_site_label
_atom_site_type_symbol
_atom_site_fract_x
_atom_site_fract_y
_atom_site_fract_z
Cd1 Cd 0.000 0.000 0.000
Tc1 Tc 0.000 0.000 0.500
Hg1 Hg 0.000 0.500 0.264

***

[3]
# CdTcHg2 (PBE-GGA, optimized geometry)
# total DFT energy (no corrections): -2.495 eV/atom
data_CdTcHg2
_cell_length_a 2.874
_cell_length_b 4.852
_cell_length_c 13.206
_cell_angle_alpha 90.00
_cell_angle_beta 90.00
_cell_angle_gamma 90.00
_space_group_name_H-M_alt 'I m m m'
_space_group_IT_number 71
_space_group_name_Hall '-I 2 2'
loop_
_atom_site_label
_atom_site_type_symbol
_atom_site_fract_x
_atom_site_fract_y
_atom_site_fract_z
Cd1 Cd 0.000 0.000 0.000
Tc1 Tc 0.000 0.000 0.500
Hg1 Hg 0.000 0.500 0.184

***

[4]
# CdTcHg2 (PBE-GGA, optimized geometry)
# total DFT energy (no corrections): -2.521 eV/atom
data_CdTcHg2
_cell_length_a 5.149
_cell_length_b 3.057
_cell_length_c 5.327
_cell_angle_alpha 90.00
_cell_angle_beta 111.36
_cell_angle_gamma 90.00
_space_group_name_H-M_alt 'P 1 2/m 1'
_space_group_IT_number 10
loop_
_space_group_symop_operation_xyz
'x,y,z'
'-x,-y,-z'
'-x,y,-z'
'x,-y,z'
loop_
_atom_site_label
_atom_site_type_symbol
_atom_site_fract_x
_atom_site_fract_y
_atom_site_fract_z
Cd1 Cd 0.000 0.000 0.000
Tc1 Tc 0.000 0.500 0.500
Hg1 Hg 0.500 0.000 0.500
Hg2 Hg 0.500 0.500 0.000

***

[5]
# CdTcHg2 (PBE-GGA, optimized geometry)
# total DFT energy (no corrections): -2.440 eV/atom
data_CdTcHg2
_cell_length_a 3.082
_cell_length_b 4.181
_cell_length_c 6.139
_cell_angle_alpha 90.00
_cell_angle_beta 90.00
_cell_angle_gamma 90.00
_space_group_name_H-M_alt 'P m m m'
_space_group_IT_number 47
loop_
_space_group_symop_operation_xyz
'x,y,z'
'-x,-y,-z'
'-x,-y,z'
'x,y,-z'
'x,-y,-z'
'-x,y,z'
'-x,y,-z'
'x,-y,z'
loop_
_atom_site_label
_atom_site_type_symbol
_atom_site_fract_x
_atom_site_fract_y
_atom_site_fract_z
Cd1 Cd 0.000 0.000 0.000
Tc1 Tc 0.000 0.000 0.500
Hg1 Hg 0.500 0.500 0.265

***

[6]
# CdTcHg2 (PBE-GGA, optimized geometry)
# total DFT energy (no corrections): -2.465 eV/atom
data_CdTcHg2
_cell_length_a 9.876
_cell_length_b 2.946
_cell_length_c 5.501
_cell_angle_alpha 90.00
_cell_angle_beta 100.18
_cell_angle_gamma 90.00
_space_group_name_H-M_alt 'C 1 2/m 1'
_space_group_IT_number 12
loop_
_space_group_symop_operation_xyz
'x,y,z'
'-x,-y,-z'
'-x,y,-z'
'x,-y,z'
'x+1/2,y+1/2,z'
'-x+1/2,-y+1/2,-z'
'-x+1/2,y+1/2,-z'
'x+1/2,-y+1/2,z'
loop_
_atom_site_label
_atom_site_type_symbol
_atom_site_fract_x
_atom_site_fract_y
_atom_site_fract_z
Cd1 Cd 0.000 0.000 0.000
Tc1 Tc 0.000 0.500 0.500
Hg1 Hg 0.242 0.000 0.735

***

[7]
# CdTcHg2 (PBE-GGA, optimized geometry)
# total DFT energy (no corrections): -2.422 eV/atom
data_CdTcHg2
_cell_length_a 4.176
_cell_length_b 4.176
_cell_length_c 9.120
_cell_angle_alpha 90.00
_cell_angle_beta 90.00
_cell_angle_gamma 90.00
_space_group_name_H-M_alt 'I -4 m 2'
_space_group_IT_number 119
_space_group_name_Hall 'I -4 -2'
loop_
_atom_site_label
_atom_site_type_symbol
_atom_site_fract_x
_atom_site_fract_y
_atom_site_fract_z
Cd1 Cd 0.000 0.000 0.000
Tc1 Tc 0.000 0.500 0.250
Hg1 Hg 0.000 0.000 0.500
Hg2 Hg 0.000 0.500 0.750

***

[8]
# CdTcHg2 (PBE-GGA, optimized geometry)
# total DFT energy (no corrections): -2.483 eV/atom
data_CdTcHg2
_cell_length_a 3.089
_cell_length_b 3.089
_cell_length_c 8.439
_cell_angle_alpha 90.00
_cell_angle_beta 90.00
_cell_angle_gamma 90.00
_space_group_name_H-M_alt 'P 4/m m m'
_space_group_IT_number 123
_space_group_name_Hall '-P 4 2'
loop_
_atom_site_label
_atom_site_type_symbol
_atom_site_fract_x
_atom_site_fract_y
_atom_site_fract_z
Cd1 Cd 0.000 0.000 0.000
Tc1 Tc 0.000 0.000 0.500
Hg1 Hg 0.500 0.500 0.271

***

| no. | V (A^3/atom) |
| --- | --- |
| 1 | 23.2 |
| 2 | 20.2 |
| 3 | 23.0 |
| 4 | 19.5 |
| 5 | 19.8 |
| 6 | 19.7 |
| 7 | 19.9 |
| 8 | 20.1 |